(1)
Entry from the Alexandria database: SmMgGe after structural relaxation (GGA-PBE).

Geometry as POSCAR:
```
SmMgGe
1.0
-1.046 4.472 -1.265
-4.538 1.290 -0.656
-2.119 2.921 3.109
Ge Mg Sm
1 1 1
Cartesian
-1.926 2.171 0.297
-3.852 4.342 0.594
0.000 0.000 0.000
```

Properties
Its total energy is -4.13 eV/atom. Its size of the total moment is 0.00 μB/cell. Its space group is F-43m, No. 216. Its formation enthalpy at 0 K is -1.4 eV/f.u.

***

(2)
Entry from the Alexandria database: Sm4Mg5Ge6 after structural relaxation (GGA-PBE).

Geometry as POSCAR:
```
Sm4Mg5Ge6
1.0
4.435 0.000 0.000
-2.217 9.926 0.000
0.000 0.000 15.800
Sm Mg Ge
8 10 12
Cartesian
2.217 9.262 4.239
0.000 0.663 12.139
0.000 3.246 4.815
2.217 6.679 12.715
2.217 6.453 7.023
0.000 3.473 14.923
0.000 0.235 7.982
2.217 9.691 0.082
0.000 8.771 10.649
2.217 1.155 2.749
0.000 3.080 9.889
2.217 6.845 1.989
2.217 2.986 7.605
0.000 6.940 15.505
0.000 6.011 9.818
2.217 3.915 1.918
0.000 6.730 4.283
2.217 3.195 12.183
2.217 5.275 4.259
0.000 8.584 6.427
2.217 5.417 15.464
0.000 4.509 7.564
0.000 8.830 13.483
2.217 1.095 5.583
0.000 8.505 2.052
2.217 1.421 9.952
0.000 2.256 1.904
2.217 7.670 9.804
2.217 1.342 14.327
0.000 4.650 12.159
```

Properties
Its total energy is -4.25 eV/atom. Its size of the total moment is 0.00 μB/cell. Its space group is Cmc2_1, No. 36. Its formation enthalpy at 0 K is -9.2 eV/f.u.

***

(3)
Entry from the Alexandria database: SmMg4Ge2 after structural relaxation (GGA-PBE).

Geometry as POSCAR:
```
SmMg4Ge2
1.0
-1.231 3.580 1.952
3.709 -2.621 7.148
7.209 3.765 -2.361
Sm Mg Ge
2 8 4
Cartesian
-0.615 1.790 0.976
5.459 0.572 2.394
2.816 1.037 -0.127
8.103 0.107 4.914
4.262 3.616 0.703
5.426 1.109 6.036
6.955 3.898 1.883
2.733 0.827 4.856
1.953 -0.538 2.218
8.966 1.682 2.570
6.523 2.512 -0.495
4.396 -1.368 5.283
6.986 2.587 4.309
2.702 2.138 2.430
```

Properties
Its total energy is -3.26 eV/atom. Its size of the total moment is 0.00 μB/cell. Its space group is P4_2/mnm, No. 136. Its formation enthalpy at 0 K is -2.5 eV/f.u.

***

Q: Which value of size of the total moment does entry 1 give?
A: 0.00 μB/cell